1.
DFT (PBEsol) results for crystalline ScMoOs at its relaxed geometry.

CIF file:
```
data_ScMoOs
_chemical_formula_sum 'Sc1 Mo1 Os1'
_cell_length_a 4.3791
_cell_length_b 4.3791
_cell_length_c 2.8374
_cell_angle_alpha 90.00
_cell_angle_beta 90.00
_cell_angle_gamma 120.00
_space_group_name_H-M_alt 'P 3 m 1'
_space_group_IT_number 156
_space_group_name_Hall 'P 3 -2"'
loop_
_atom_site_label
_atom_site_type_symbol
_atom_site_fract_x
_atom_site_fract_y
_atom_site_fract_z
Sc1 Sc 0.0000 0.0000 0.0000
Mo1 Mo 0.3333 0.6667 0.6588
Os1 Os 0.6667 0.3333 0.3610
```

Calculated values
DOS(E_F)	0.748	states/eV per atom
excess energy over the best structure of this formula in the dataset	0.098	eV/atom
ΔE_f	-49.3	meV/atom
V	47	Å³ per cell

2.
DFT (PBEsol) results for crystalline SrSc2MoOs at its relaxed geometry.

CIF file:
```
data_SrSc2MoOs
_chemical_formula_sum 'Sr1 Sc2 Mo1 Os1'
_cell_length_a 4.790
_cell_length_b 4.790
_cell_length_c 5.169
_cell_angle_alpha 90.00
_cell_angle_beta 90.00
_cell_angle_gamma 90.00
_space_group_name_H-M_alt 'P 4/m m m'
_space_group_IT_number 123
_space_group_name_Hall '-P 4 2'
loop_
_atom_site_label
_atom_site_type_symbol
_atom_site_fract_x
_atom_site_fract_y
_atom_site_fract_z
Sr1 Sr 0.000 0.000 0.000
Sc1 Sc 0.000 0.500 0.500
Mo1 Mo 0.000 0.000 0.500
Os1 Os 0.500 0.500 0.000
```

Calculated values
DOS(E_F)	1.333	states/eV per atom
ΔE_f	1462.3	meV/atom
V	119	Å³ per cell

3.
DFT (PBEsol) results for crystalline MoOsSe2 at its relaxed geometry.

CIF file:
```
data_MoOsSe2
_chemical_formula_sum 'Mo2 Os2 Se4'
_cell_length_a 5.152
_cell_length_b 6.063
_cell_length_c 4.252
_cell_angle_alpha 90.00
_cell_angle_beta 90.00
_cell_angle_gamma 90.00
_space_group_name_H-M_alt 'C m m m'
_space_group_IT_number 65
_space_group_name_Hall '-C 2 2'
loop_
_atom_site_label
_atom_site_type_symbol
_atom_site_fract_x
_atom_site_fract_y
_atom_site_fract_z
Mo1 Mo 0.000 0.000 0.000
Os1 Os 0.000 0.500 0.000
Se1 Se 0.000 0.251 0.500
```

Calculated values
DOS(E_F)	0.917	states/eV per atom
excess energy over the best structure of this formula in the dataset	0.681	eV/atom
V	133	Å³ per cell
uncorrected formation energy	0.641	eV/atom

4.
DFT (PBEsol) results for crystalline MoOs2Se at its relaxed geometry.

CIF file:
```
data_MoOs2Se
_chemical_formula_sum 'Mo3 Os6 Se3'
_cell_length_a 2.8385
_cell_length_b 2.8385
_cell_length_c 25.4467
_cell_angle_alpha 90.00
_cell_angle_beta 90.00
_cell_angle_gamma 120.00
_space_group_name_H-M_alt 'R -3 m'
_space_group_IT_number 166
_space_group_name_Hall '-R 3 2"'
loop_
_atom_site_label
_atom_site_type_symbol
_atom_site_fract_x
_atom_site_fract_y
_atom_site_fract_z
Mo1 Mo 0.0000 0.0000 0.0000
Os1 Os 0.0000 0.0000 0.2490
Se1 Se 0.0000 0.0000 0.5000
```

Calculated values
DOS(E_F)	0.970	states/eV per atom
V	178	Å³ per cell
uncorrected formation energy	0.352	eV/atom

5.
DFT (PBEsol) results for crystalline MoOsSe2 at its relaxed geometry.

CIF file:
```
data_MoOsSe2
_chemical_formula_sum 'Mo2 Os2 Se4'
_cell_length_a 3.028
_cell_length_b 4.335
_cell_length_c 9.478
_cell_angle_alpha 90.00
_cell_angle_beta 90.00
_cell_angle_gamma 90.00
_space_group_name_H-M_alt 'I m m 2'
_space_group_IT_number 44
_space_group_name_Hall 'I 2 -2'
loop_
_atom_site_label
_atom_site_type_symbol
_atom_site_fract_x
_atom_site_fract_y
_atom_site_fract_z
Mo1 Mo 0.000 0.000 0.000
Os1 Os 0.000 0.500 0.769
Se1 Se 0.000 0.000 0.489
Se2 Se 0.000 0.500 0.266
```

Calculated values
DOS(E_F)	1.015	states/eV per atom
excess energy over the best structure of this formula in the dataset	0.445	eV/atom
V	124	Å³ per cell
uncorrected formation energy	0.404	eV/atom

6.
DFT (PBEsol) results for crystalline MoOsSe2 at its relaxed geometry.

CIF file:
```
data_MoOsSe2
_chemical_formula_sum 'Mo2 Os2 Se4'
_cell_length_a 3.010
_cell_length_b 5.246
_cell_length_c 8.193
_cell_angle_alpha 90.00
_cell_angle_beta 90.00
_cell_angle_gamma 90.00
_space_group_name_H-M_alt 'C m m m'
_space_group_IT_number 65
_space_group_name_Hall '-C 2 2'
loop_
_atom_site_label
_atom_site_type_symbol
_atom_site_fract_x
_atom_site_fract_y
_atom_site_fract_z
Mo1 Mo 0.000 0.000 0.000
Os1 Os 0.000 0.000 0.500
Se1 Se 0.000 0.500 0.251
```

Calculated values
DOS(E_F)	1.102	states/eV per atom
excess energy over the best structure of this formula in the dataset	0.853	eV/atom
V	129	Å³ per cell
uncorrected formation energy	0.813	eV/atom

7.
DFT (PBEsol) results for crystalline Mo2OsSe at its relaxed geometry.

CIF file:
```
data_Mo2OsSe
_chemical_formula_sum 'Mo4 Os2 Se2'
_cell_length_a 4.031
_cell_length_b 2.869
_cell_length_c 10.355
_cell_angle_alpha 90.00
_cell_angle_beta 90.00
_cell_angle_gamma 90.00
_space_group_name_H-M_alt 'A m m 2'
_space_group_IT_number 38
_space_group_name_Hall 'A 2 -2'
loop_
_atom_site_label
_atom_site_type_symbol
_atom_site_fract_x
_atom_site_fract_y
_atom_site_fract_z
Mo1 Mo 0.000 0.000 0.000
Mo2 Mo 0.500 0.000 0.353
Os1 Os 0.000 0.000 0.740
Se1 Se 0.500 0.000 0.594
```

Calculated values
DOS(E_F)	0.931	states/eV per atom
V	120	Å³ per cell
uncorrected formation energy	0.222	eV/atom

8.
DFT (PBEsol) results for crystalline Mo2OsSe at its relaxed geometry.

CIF file:
```
data_Mo2OsSe
_chemical_formula_sum 'Mo4 Os2 Se2'
_cell_length_a 9.282
_cell_length_b 2.970
_cell_length_c 4.435
_cell_angle_alpha 90.00
_cell_angle_beta 95.56
_cell_angle_gamma 90.00
_space_group_name_H-M_alt 'C 1 2/m 1'
_space_group_IT_number 12
_space_group_name_Hall '-C 2y'
loop_
_atom_site_label
_atom_site_type_symbol
_atom_site_fract_x
_atom_site_fract_y
_atom_site_fract_z
Mo1 Mo 0.236 0.000 0.231
Os1 Os 0.000 0.500 0.000
Se1 Se 0.000 0.000 0.500
```

Calculated values
DOS(E_F)	0.622	states/eV per atom
V	122	Å³ per cell
uncorrected formation energy	0.329	eV/atom

Repeat the sixth record exactly.
DFT (PBEsol) results for crystalline MoOsSe2 at its relaxed geometry.

CIF file:
```
data_MoOsSe2
_chemical_formula_sum 'Mo2 Os2 Se4'
_cell_length_a 3.010
_cell_length_b 5.246
_cell_length_c 8.193
_cell_angle_alpha 90.00
_cell_angle_beta 90.00
_cell_angle_gamma 90.00
_space_group_name_H-M_alt 'C m m m'
_space_group_IT_number 65
_space_group_name_Hall '-C 2 2'
loop_
_atom_site_label
_atom_site_type_symbol
_atom_site_fract_x
_atom_site_fract_y
_atom_site_fract_z
Mo1 Mo 0.000 0.000 0.000
Os1 Os 0.000 0.000 0.500
Se1 Se 0.000 0.500 0.251
```

Calculated values
DOS(E_F)	1.102	states/eV per atom
excess energy over the best structure of this formula in the dataset	0.853	eV/atom
V	129	Å³ per cell
uncorrected formation energy	0.813	eV/atom

> Look up the DOS(E_F) of the fifth one.

1.015 states/eV per atom